Below is a relaxed CuNiRh2 crystal, with properties calculated at the PBEsol level.

For the energy relative to the elements, the calculation gives 0.060 eV per atom. The calculation puts the total DFT energy (no corrections) at -6.63 eV per atom.

extended XYZ file:
```
4
Lattice="-0.784 -0.365 2.505 -1.445 -2.089 -0.756 5.477 -4.188 1.106" Properties=species:S:1:pos:R:3 pbc="T T T"
Rh 5.421 -4.145 1.094
Rh 0.274 -2.288 1.155
Cu 2.812 -2.151 0.568
Ni 2.958 -4.341 1.696
```